No. 1
First-principles (SCAN) data for a crystal of La3BeCl relaxed with PBEsol, as listed in the Alexandria database.

Computed properties:
Symmetry: Pm-3m
Formation energy without anion corrections in meV per atom: -32
Crystal system: cubic
M_tot in μB/f.u.: 1.46

abc: 5.416 5.416 5.416
angles: 90.00 90.00 90.00
Fractional coordinates of all 5 atoms:
La 0.000 0.000 0.500
La 0.000 0.500 0.000
La 0.500 0.000 0.000
Be 0.000 0.000 0.000
Cl 0.500 0.500 0.500

***

No. 2
First-principles (SCAN) data for a crystal of SiH18C2N8O2F6 relaxed with PBEsol, as listed in the Alexandria database.

Computed properties:
Symmetry: P-1
E in eV per formula unit: -236.899
Crystal system: triclinic
M_tot in μB/f.u.: 0.00

abc: 6.420 6.589 7.847
angles: 108.74 96.08 90.23
Fractional coordinates of all 37 atoms:
Si 0.000 0.000 0.000
H 0.122 0.536 0.308
H 0.128 0.783 0.293
H 0.153 0.181 0.387
H 0.217 0.327 0.621
H 0.218 0.377 0.944
H 0.251 0.608 0.925
H 0.296 0.865 0.672
H 0.448 0.080 0.211
H 0.474 0.615 0.246
H 0.526 0.385 0.754
H 0.552 0.920 0.789
H 0.704 0.135 0.328
H 0.749 0.392 0.075
H 0.782 0.623 0.056
H 0.783 0.673 0.379
H 0.847 0.819 0.613
H 0.872 0.217 0.707
H 0.878 0.464 0.692
C 0.467 0.242 0.482
C 0.533 0.758 0.518
N 0.188 0.688 0.366
N 0.262 0.260 0.493
N 0.404 0.678 0.363
N 0.454 0.848 0.674
N 0.546 0.152 0.326
N 0.596 0.322 0.637
N 0.738 0.740 0.507
N 0.812 0.312 0.634
O 0.269 0.454 0.866
O 0.731 0.546 0.134
F 0.043 0.983 0.785
F 0.126 0.246 0.081
F 0.234 0.883 0.028
F 0.766 0.117 0.972
F 0.874 0.754 0.919
F 0.957 0.017 0.215